DFT (PBE-GGA) results for TbMg6 after structural relaxation.

* ΔE_f: 2 meV/atom
* relative energy among the computed polymorphs: 0.000 eV per atom

Structure (CIF):
```
data_TbMg6
_chemical_formula_sum 'Tb4 Mg24'
_cell_length_a 9.492
_cell_length_b 5.948
_cell_length_c 12.159
_cell_angle_alpha 90.00
_cell_angle_beta 90.00
_cell_angle_gamma 90.00
_symmetry_space_group_name_H-M 'P n m a'
_symmetry_Int_Tables_number 62
loop_
_symmetry_equiv_pos_as_xyz
'x,y,z'
'-x,-y,-z'
'-x+1/2,-y,z+1/2'
'x+1/2,y,-z+1/2'
'x+1/2,-y+1/2,-z+1/2'
'-x+1/2,y+1/2,z+1/2'
'-x,y+1/2,-z'
'x,-y+1/2,z'
loop_
_atom_site_label
_atom_site_type_symbol
_atom_site_fract_x
_atom_site_fract_y
_atom_site_fract_z
Tb1 Tb 0.247 0.250 0.065
Mg1 Mg 0.055 0.750 0.084
Mg2 Mg 0.063 0.011 0.307
Mg3 Mg 0.095 0.250 0.518
Mg4 Mg 0.142 0.750 0.850
Mg5 Mg 0.192 0.250 0.752
```